[1]
Below is a geometry-optimized Mn3Fe9P4 structure, with properties calculated at the PBE-GGA level.

a b c (Å): 4.423 6.743 6.745
angles (deg): 83.81 71.00 70.98
Positions (direct):
Mn: 0.000 0.000 0.000
Mn: 0.195 0.641 0.943
Mn: 0.493 0.794 0.157
Fe: 0.250 0.875 0.586
Fe: 0.301 0.217 0.647
Fe: 0.352 0.209 0.026
Fe: 0.370 0.430 0.303
Fe: 0.649 0.851 0.784
Fe: 0.672 0.496 0.579
Fe: 0.791 0.431 0.924
Fe: 0.916 0.774 0.360
Fe: 0.954 0.152 0.368
P: 0.107 0.577 0.634
P: 0.525 0.070 0.315
P: 0.782 0.164 0.730
P: 0.884 0.480 0.219

Symmetry ... P1, No. 1
Total moment ... 17.7 μB per formula unit
Formation enthalpy at 0 K ... -346 meV per atom

[2]
Below is a geometry-optimized Mn2FeP structure, with properties calculated at the PBE-GGA level.

a b c (Å): 2.885 3.864 3.893
angles (deg): 90.00 90.00 90.00
Positions (direct):
Mn: 0.000 0.000 0.000
Mn: 0.500 0.000 0.500
Fe: 0.000 0.500 0.500
P: 0.500 0.500 0.000

Symmetry ... Pmmm, No. 47
Total moment ... 3.0 μB per formula unit
Formation enthalpy at 0 K ... -212 meV per atom

[3]
Below is a geometry-optimized MnFe2P structure, with properties calculated at the PBE-GGA level.

a b c (Å): 2.630 4.076 4.076
angles (deg): 102.81 90.00 90.00
Positions (direct):
Mn: 0.000 0.000 0.000
Fe: 0.500 0.478 0.886
Fe: 0.500 0.886 0.478
P: 0.000 0.432 0.432

Symmetry ... Amm2, No. 38
Total moment ... 0.2 μB per formula unit
Formation enthalpy at 0 K ... -204 meV per atom

[4]
Below is a geometry-optimized MnFeP structure, with properties calculated at the PBE-GGA level.

a b c (Å): 5.570 3.584 6.450
angles (deg): 90.00 90.00 90.00
Positions (direct):
Mn: 0.023 0.250 0.167
Mn: 0.477 0.750 0.667
Mn: 0.523 0.250 0.333
Mn: 0.977 0.750 0.833
Fe: 0.142 0.250 0.565
Fe: 0.358 0.750 0.065
Fe: 0.642 0.250 0.935
Fe: 0.858 0.750 0.435
P: 0.246 0.750 0.383
P: 0.254 0.250 0.883
P: 0.746 0.750 0.117
P: 0.754 0.250 0.617

Symmetry ... Pnma, No. 62
Total moment ... 0.0 μB per formula unit
Formation enthalpy at 0 K ... -498 meV per atom